Computed, not measured: an optimized crystal structure of Ti8Ga2Co at the PBE level of DFT.

a = 4.501 Å, b = 6.046 Å, c = 12.999 Å
α = 90.00°, β = 90.00°, γ = 90.00°
Space group Immm (No. 71)
Symmetry-distinct sites (fractional):
Ti1 0.000 0.000 0.178
Ti2 0.000 0.232 0.366
Ti3 0.000 0.264 0.000
Ga1 0.000 0.500 0.188
Co1 0.000 0.500 0.500

Properties
Calculated volume (A^3/atom): 16.079
Crystal system: orthorhombic
Total energy (eV/atom): -7.174

Computed, not measured: an optimized crystal structure of Hf2Ga6Fe at the PBE level of DFT.

a = 6.342 Å, b = 2.992 Å, c = 9.001 Å
α = 90.00°, β = 110.58°, γ = 90.00°
Space group P2/m (No. 10)
Symmetry-distinct sites (fractional):
Hf1 0.234 0.000 0.467
Ga1 0.156 0.500 0.730
Ga2 0.191 0.000 0.000
Ga3 0.427 0.500 0.270
Fe1 0.500 0.500 0.000

Properties
Calculated volume (A^3/atom): 17.768
Crystal system: monoclinic
Total energy (eV/atom): -5.312

Computed, not measured: an optimized crystal structure of Al2GaTc at the PBE level of DFT.

a = 3.335 Å, b = 3.335 Å, c = 5.375 Å
α = 90.00°, β = 90.00°, γ = 90.00°
Space group P4/mmm (No. 123)
Symmetry-distinct sites (fractional):
Al1 0.000 0.000 0.237
Ga1 0.500 0.500 0.500
Tc1 0.500 0.500 0.000

Properties
Calculated volume (A^3/atom): 14.946
Crystal system: tetragonal
Total energy (eV/atom): -5.581

Computed, not measured: an optimized crystal structure of SrScZn2Au4 at the PBE level of DFT.

a = 4.5970 Å, b = 4.5970 Å, c = 27.4000 Å
α = 90.00°, β = 90.00°, γ = 120.00°
Space group R-3m (No. 166, hexagonal axes)
Symmetry-distinct sites (fractional):
Sr1 0.0000 0.0000 0.0000
Sc1 0.0000 0.0000 0.5000
Zn1 0.0000 0.0000 0.2367
Au1 0.0000 0.0000 0.1265
Au2 0.0000 0.0000 0.3994

Properties
Calculated volume (A^3/atom): 20.894
Crystal system: trigonal
Total energy (eV/atom): -3.503

Computed, not measured: an optimized crystal structure of CoMo2Ir at the PBE level of DFT.

a = 9.098 Å, b = 2.771 Å, c = 4.611 Å
α = 90.00°, β = 100.72°, γ = 90.00°
Space group C2/m (No. 12)
Symmetry-distinct sites (fractional):
Co1 0.000 0.000 0.000
Mo1 0.248 0.500 0.245
Ir1 0.000 0.500 0.500

Properties
Calculated volume (A^3/atom): 14.279
Offset from the most stable computed form (meV per atom): 193.6
Crystal system: monoclinic
Total energy (eV/atom): -9.346

Computed, not measured: an optimized crystal structure of Pu2Mg6Tl3 at the PBE level of DFT.

a = 9.8865 Å, b = 9.8865 Å, c = 3.3423 Å
α = 90.00°, β = 90.00°, γ = 120.00°
Space group P-62m (No. 189)
Symmetry-distinct sites (fractional):
Pu1 0.3333 0.6667 0.0000
Mg1 0.0000 0.3015 0.5000
Mg2 0.0000 0.8268 0.0000
Tl1 0.0000 0.5876 0.5000

Properties
Calculated volume (A^3/atom): 25.719
Crystal system: hexagonal
Total energy (eV/atom): -4.050

Computed, not measured: an optimized crystal structure of SmFe2C2 at the PBE level of DFT.

a = 3.468 Å, b = 3.468 Å, c = 9.826 Å
α = 90.00°, β = 90.00°, γ = 90.00°
Space group I4/mmm (No. 139)
Symmetry-distinct sites (fractional):
Sm1 0.000 0.000 0.000
Fe1 0.000 0.500 0.250
C1 0.000 0.000 0.337

Properties
Calculated volume (A^3/atom): 11.819
Offset from the most stable computed form (meV per atom): 26.7
Crystal system: tetragonal
Total energy (eV/atom): -8.219

Computed, not measured: an optimized crystal structure of Ag3Mo at the PBE level of DFT.

a = 5.271 Å, b = 5.271 Å, c = 5.271 Å
α = 90.00°, β = 90.00°, γ = 90.00°
Space group Pm-3n (No. 223)
Symmetry-distinct sites (fractional):
Ag1 0.000 0.250 0.500
Mo1 0.000 0.000 0.000

Properties
Calculated volume (A^3/atom): 18.310
Offset from the most stable computed form (meV per atom): 419.1
Crystal system: cubic
Total energy (eV/atom): -4.129

Computed, not measured: an optimized crystal structure of Ho5Er4Tm2 at the PBE level of DFT.

a = 3.455 Å, b = 8.888 Å, c = 22.915 Å
α = 90.00°, β = 90.00°, γ = 90.00°
Space group Immm (No. 71)
Symmetry-distinct sites (fractional):
Ho1 0.000 0.000 0.000
Ho2 0.000 0.302 0.355
Er1 0.000 0.190 0.500
Er2 0.000 0.500 0.097
Tm1 0.000 0.500 0.231

Properties
Calculated volume (A^3/atom): 31.989
Offset from the most stable computed form (meV per atom): 100.8
Crystal system: orthorhombic
Total energy (eV/atom): -4.313

Computed, not measured: an optimized crystal structure of NiRh2Au at the PBE level of DFT.

a = 6.164 Å, b = 6.164 Å, c = 6.164 Å
α = 90.00°, β = 90.00°, γ = 90.00°
Space group F-43m (No. 216)
Symmetry-distinct sites (fractional):
Ni1 0.000 0.000 0.000
Rh1 0.000 0.000 0.500
Rh2 0.250 0.250 0.750
Au1 0.250 0.250 0.250

Properties
Calculated volume (A^3/atom): 14.636
Offset from the most stable computed form (meV per atom): 190.8
Crystal system: cubic
Total energy (eV/atom): -5.652

Computed, not measured: an optimized crystal structure of ZnTc2Hg at the PBE level of DFT.

a = 9.451 Å, b = 3.068 Å, c = 4.593 Å
α = 90.00°, β = 102.65°, γ = 90.00°
Space group C2/m (No. 12)
Symmetry-distinct sites (fractional):
Zn1 0.000 0.000 0.000
Tc1 0.245 0.500 0.214
Hg1 0.000 0.500 0.500

Properties
Calculated volume (A^3/atom): 16.240
Offset from the most stable computed form (meV per atom): 303.2
Crystal system: monoclinic
Total energy (eV/atom): -5.144

Computed, not measured: an optimized crystal structure of Ti3SiH3 at the PBE level of DFT.

a = 5.5183 Å, b = 5.5183 Å, c = 17.3875 Å
α = 90.00°, β = 90.00°, γ = 120.00°
Space group R-3 (No. 148, hexagonal axes)
Symmetry-distinct sites (fractional):
Ti1 0.9999 0.3248 0.4059
Si1 0.0000 0.0000 0.1665
H1 0.0009 0.3408 0.6297

Properties
Calculated volume (A^3/atom): 10.918
Crystal system: trigonal
Total energy (eV/atom): -5.949

Computed, not measured: an optimized crystal structure of Ti6Al2O at the PBE level of DFT.

a = 3.040 Å, b = 12.283 Å, c = 7.319 Å
α = 90.00°, β = 90.00°, γ = 90.00°
Space group Amm2 (No. 38)
Symmetry-distinct sites (fractional):
Ti1 0.000 0.000 0.000
Ti2 0.000 0.114 0.627
Ti3 0.500 0.000 0.332
Ti4 0.500 0.198 0.948
Al1 0.000 0.172 0.247
O1 0.500 0.000 0.799

Properties
Calculated volume (A^3/atom): 15.182
Offset from the most stable computed form (meV per atom): 232.7
Crystal system: orthorhombic
Total energy (eV/atom): -7.256

Computed, not measured: an optimized crystal structure of Sm2Ge3Au5 at the PBE level of DFT.

a = 4.521 Å, b = 25.078 Å, c = 7.225 Å
α = 90.00°, β = 90.00°, γ = 90.00°
Space group Cmc2_1 (No. 36)
Symmetry-distinct sites (fractional):
Sm1 0.000 0.019 0.000
Sm2 0.000 0.325 0.980
Ge1 0.000 0.106 0.306
Ge2 0.000 0.272 0.451
Ge3 0.000 0.453 0.200
Au1 0.000 0.103 0.675
Au2 0.000 0.199 0.156
Au3 0.000 0.215 0.752
Au4 0.000 0.379 0.468
Au5 0.000 0.447 0.806

Properties
Calculated volume (A^3/atom): 20.480
Offset from the most stable computed form (meV per atom): 0.0
Crystal system: orthorhombic
Total energy (eV/atom): -4.503

Computed, not measured: an optimized crystal structure of Li2InOsPb at the PBE level of DFT.

a = 4.838 Å, b = 4.838 Å, c = 5.659 Å
α = 90.00°, β = 90.00°, γ = 90.00°
Space group P4/mmm (No. 123)
Symmetry-distinct sites (fractional):
Li1 0.000 0.500 0.000
In1 0.000 0.000 0.500
Os1 0.500 0.500 0.500
Pb1 0.000 0.000 0.000

Properties
Calculated volume (A^3/atom): 26.488
Crystal system: tetragonal
Total energy (eV/atom): -2.949

Computed, not measured: an optimized crystal structure of GdTl2In at the PBE level of DFT.

a = 3.5057 Å, b = 3.5057 Å, c = 34.8182 Å
α = 90.00°, β = 90.00°, γ = 120.00°
Space group R-3m (No. 166, hexagonal axes)
Symmetry-distinct sites (fractional):
Gd1 0.0000 0.0000 0.0000
Tl1 0.0000 0.0000 0.0905
In1 0.0000 0.0000 0.5000

Properties
Calculated volume (A^3/atom): 30.882
Offset from the most stable computed form (meV per atom): 410.6
Crystal system: trigonal
Total energy (eV/atom): -5.289

Computed, not measured: an optimized crystal structure of Li3ClO at the PBE level of DFT.

a = 4.450 Å, b = 4.450 Å, c = 14.105 Å
α = 90.00°, β = 90.00°, γ = 90.00°
Space group I-4m2 (No. 119)
Symmetry-distinct sites (fractional):
Li1 0.000 0.000 0.227
Li2 0.000 0.245 0.599
Cl1 0.000 0.500 0.141
O1 0.000 0.000 0.500
O2 0.000 0.500 0.750

Properties
Calculated volume (A^3/atom): 13.963
Offset from the most stable computed form (meV per atom): 442.4
Crystal system: tetragonal
Total energy (eV/atom): -3.890

Computed, not measured: an optimized crystal structure of Cd5Pd3Br12 at the PBE level of DFT.

a = 16.754 Å, b = 16.754 Å, c = 16.754 Å
α = 90.00°, β = 90.00°, γ = 90.00°
Space group Ia-3d (No. 230)
Symmetry-distinct sites (fractional):
Cd1 0.000 0.000 0.000
Cd2 0.000 0.250 0.375
Pd1 0.000 0.250 0.125
Br1 0.027 0.072 0.649

Properties
Calculated volume (A^3/atom): 29.393
Crystal system: cubic
Total energy (eV/atom): -2.378

Computed, not measured: an optimized crystal structure of SrYMg2 at the PBE level of DFT.

a = 3.7242 Å, b = 3.7242 Å, c = 33.0674 Å
α = 90.00°, β = 90.00°, γ = 120.00°
Space group R-3m (No. 166, hexagonal axes)
Symmetry-distinct sites (fractional):
Sr1 0.0000 0.0000 0.0000
Y1 0.0000 0.0000 0.5000
Mg1 0.0000 0.0000 0.2447

Properties
Calculated volume (A^3/atom): 33.099
Offset from the most stable computed form (meV per atom): 168.2
Crystal system: trigonal
Total energy (eV/atom): -2.724

Computed, not measured: an optimized crystal structure of CeVP2 at the PBE level of DFT.

a = 3.156 Å, b = 3.156 Å, c = 6.601 Å
α = 90.00°, β = 90.00°, γ = 90.00°
Space group P4/mmm (No. 123)
Symmetry-distinct sites (fractional):
Ce1 0.000 0.000 0.000
V1 0.000 0.000 0.500
P1 0.500 0.500 0.304

Properties
Calculated volume (A^3/atom): 16.437
Offset from the most stable computed form (meV per atom): 96.4
Crystal system: tetragonal
Total energy (eV/atom): -7.109

Computed, not measured: an optimized crystal structure of K2TaZnSe4 at the PBE level of DFT.

a = 6.447 Å, b = 13.628 Å, c = 23.881 Å
α = 90.00°, β = 90.00°, γ = 90.00°
Space group Fddd (No. 70, origin choice 2)
Symmetry-distinct sites (fractional):
K1 0.125 0.125 0.305
Ta1 0.125 0.125 0.625
Zn1 0.125 0.125 0.125
Se1 0.119 0.276 0.820

Properties
Calculated volume (A^3/atom): 32.785
Crystal system: orthorhombic
Total energy (eV/atom): -4.504